(1)
CdHAuCl: optimized geometry, PBE.

Properties
**Excess energy over the best structure of this formula in the dataset**: 19 meV/atom
**Symmetry**: No. 8

abc: 3.615 3.613 12.418
angles: 90.00 90.63 90.00
Sites, in units of the cell vectors:
Au (0.086, 0.000, 0.336)
Cd (0.581, 0.000, 0.719)
Cl (0.076, 0.500, 0.068)
Cl (0.076, 0.000, 0.568)
H (0.087, 0.500, 0.343)
H (0.087, 0.000, 0.843)
Au (0.086, 0.500, 0.836)
Cd (0.581, 0.500, 0.219)

=====

(2)
EuCdPb: optimized geometry, PBE.

Properties
**ΔH_f (0 K)**: -0.44 eV per atom
**Symmetry**: No. 186

abc: 5.084 5.084 7.937
angles: 90.00 90.00 120.00
Last column: magnetic moment on the atom in μB.
Sites, in units of the cell vectors:
Eu (0.000, 0.000, 0.252)  6.87
Cd (0.333, 0.667, 0.454)  -0.01
Eu (0.000, 0.000, 0.752)  6.87
Pb (0.333, 0.667, 0.042)  -0.03
Pb (0.667, 0.333, 0.542)  -0.03
Cd (0.667, 0.333, 0.954)  -0.01

=====

(3)
KGa: optimized geometry, PBE.

Properties
**ΔH_f (0 K)**: 0.04 eV per atom
**Excess energy over the best structure of this formula in the dataset**: 141 meV/atom
**Symmetry**: No. 194

abc: 9.465 9.465 5.618
angles: 90.00 90.00 120.00
Sites, in units of the cell vectors:
Ga (0.144, 0.572, 0.250)
Ga (0.572, 0.428, 0.750)
Ga (0.572, 0.144, 0.750)
K (0.818, 0.182, 0.250)
K (0.365, 0.182, 0.250)
Ga (0.428, 0.856, 0.250)
K (0.182, 0.365, 0.750)
Ga (0.856, 0.428, 0.750)
Ga (0.428, 0.572, 0.250)
K (0.818, 0.635, 0.250)
K (0.635, 0.818, 0.750)
K (0.182, 0.818, 0.750)

=====

(4)
NaHgMo3: optimized geometry, PBE.

Properties
**ΔH_f (0 K)**: 2.50 eV per atom
**Excess energy over the best structure of this formula in the dataset**: 0 meV/atom
**Symmetry**: No. 221

abc: 4.562 4.562 4.562
angles: 90.00 90.00 90.00
Sites, in units of the cell vectors:
Mo (0.500, 0.000, 0.000)
Na (0.000, 0.000, 0.000)
Hg (0.500, 0.500, 0.500)
Mo (0.000, 0.500, 0.000)
Mo (0.000, 0.000, 0.500)

=====

(5)
KTl2IrO6: optimized geometry, PBE.

Properties
**Raw formation energy**: -0.83 eV/atom
**Symmetry**: No. 14

abc: 5.822 6.087 8.554
angles: 90.00 90.06 90.00
Last column: magnetic moment on the atom in μB.
Sites, in units of the cell vectors:
Tl (0.499, 0.494, 0.215)  0.00
O (0.859, 0.701, 0.847)  0.09
O (0.708, 0.348, 0.995)  0.08
K (0.000, 0.500, 0.500)  0.01
O (0.292, 0.652, 0.005)  0.08
O (0.134, 0.326, 0.829)  0.08
K (0.500, 0.000, 0.000)  0.01
O (0.359, 0.799, 0.347)  0.09
Ir (0.000, 0.500, 0.000)  0.85
O (0.792, 0.848, 0.505)  0.08
O (0.866, 0.674, 0.171)  0.08
O (0.208, 0.152, 0.495)  0.08
O (0.141, 0.299, 0.153)  0.09
Tl (0.001, 0.994, 0.285)  0.00
O (0.366, 0.826, 0.671)  0.08
Tl (0.999, 0.006, 0.715)  0.00
O (0.641, 0.201, 0.653)  0.09
Tl (0.501, 0.506, 0.785)  0.00
Ir (0.500, 0.000, 0.500)  0.85
O (0.634, 0.174, 0.329)  0.08

=====

(6)
K4CaZr: optimized geometry, PBE.

Properties
**ΔH_f (0 K)**: 0.78 eV per atom
**Symmetry**: No. 216

abc: 7.460 7.460 7.460
angles: 60.00 60.00 60.00
Last column: magnetic moment on the atom in μB.
Sites, in units of the cell vectors:
K (0.873, 0.376, 0.376)  0.01
K (0.376, 0.873, 0.376)  0.01
K (0.376, 0.376, 0.873)  0.01
Ca (0.000, 0.000, 0.000)  0.04
Zr (0.750, 0.750, 0.750)  1.55
K (0.376, 0.376, 0.376)  0.01

=====

(7)
BeTl2Os: optimized geometry, PBE.

Properties
**ΔH_f (0 K)**: 1.06 eV per atom
**Excess energy over the best structure of this formula in the dataset**: 631 meV/atom
**Symmetry**: No. 65

abc: 4.806 4.806 3.292
angles: 90.00 90.00 106.39
Sites, in units of the cell vectors:
Os (0.000, 0.500, 0.500)
Tl (0.000, 0.000, 0.000)
Tl (0.500, 0.500, 0.000)
Be (0.500, 0.000, 0.500)

=====

(8)
MgCo2Ag: optimized geometry, PBE.

Properties
**ΔH_f (0 K)**: 0.23 eV per atom
**Symmetry**: No. 10

abc: 3.330 4.011 5.824
angles: 46.97 90.00 90.00
Last column: magnetic moment on the atom in μB.
Sites, in units of the cell vectors:
Ag (0.000, 0.000, 0.500)  -0.02
Mg (0.500, 0.500, 0.500)  -0.02
Co (0.000, 0.000, 0.000)  1.63
Co (0.500, 0.500, 0.000)  1.65

=====

(9)
Co2Ir3Rh: optimized geometry, PBE.

Properties
**ΔH_f (0 K)**: 0.04 eV per atom
**Excess energy over the best structure of this formula in the dataset**: 0 meV/atom
**Symmetry**: No. 166

abc: 5.395 5.395 7.129
angles: 67.76 67.76 60.00
Last column: magnetic moment on the atom in μB.
Sites, in units of the cell vectors:
Rh (0.225, 0.225, 0.325)  0.17
Co (0.500, 0.500, 0.000)  1.70
Ir (0.274, 0.774, 0.677)  0.13
Co (0.500, 0.000, 0.000)  1.70
Rh (0.775, 0.775, 0.675)  0.17
Ir (0.726, 0.226, 0.323)  0.13
Co (0.000, 0.500, 0.000)  1.70
Ir (0.226, 0.726, 0.323)  0.13
Ir (0.774, 0.274, 0.677)  0.13
Co (0.000, 0.000, 0.000)  1.56
Ir (0.274, 0.274, 0.677)  0.13
Ir (0.726, 0.726, 0.323)  0.13

=====

(10)
Pm4RhAu: optimized geometry, PBE.

Properties
**ΔH_f (0 K)**: -0.52 eV per atom
**Excess energy over the best structure of this formula in the dataset**: 0 meV/atom
**Symmetry**: No. 62

abc: 4.944 8.420 16.064
angles: 90.00 90.00 90.00
Sites, in units of the cell vectors:
Rh (0.750, 0.193, 0.689)
Pm (0.250, 0.075, 0.781)
Pm (0.750, 0.425, 0.281)
Pm (0.250, 0.038, 0.076)
Pm (0.750, 0.462, 0.576)
Rh (0.250, 0.307, 0.189)
Au (0.750, 0.222, 0.438)
Pm (0.750, 0.370, 0.836)
Pm (0.250, 0.652, 0.932)
Pm (0.250, 0.130, 0.336)
Pm (0.250, 0.152, 0.568)
Pm (0.750, 0.925, 0.219)
Pm (0.750, 0.848, 0.432)
Pm (0.750, 0.962, 0.924)
Pm (0.750, 0.870, 0.664)
Pm (0.250, 0.575, 0.719)
Rh (0.250, 0.807, 0.311)
Au (0.250, 0.278, 0.938)
Rh (0.750, 0.693, 0.811)
Pm (0.250, 0.538, 0.424)
Au (0.250, 0.778, 0.562)
Pm (0.750, 0.348, 0.068)
Pm (0.250, 0.630, 0.164)
Au (0.750, 0.722, 0.062)

=====

(11)
BaMg8: optimized geometry, PBE.

Properties
**ΔH_f (0 K)**: 0.04 eV per atom
**Symmetry**: No. 139

abc: 7.444 7.444 7.444
angles: 96.27 96.27 141.40
Sites, in units of the cell vectors:
Mg (0.655, 0.000, 0.655)
Mg (0.000, 0.655, 0.655)
Mg (0.680, 0.680, 0.360)
Mg (0.320, 0.680, 0.000)
Mg (0.320, 0.320, 0.640)
Mg (0.000, 0.345, 0.345)
Mg (0.345, 0.000, 0.345)
Ba (0.000, 0.000, 0.000)
Mg (0.680, 0.320, 0.000)

=====

(12)
ZrCuP3: optimized geometry, PBE.

Properties
**ΔH_f (0 K)**: 0.37 eV per atom
**Excess energy over the best structure of this formula in the dataset**: 0 meV/atom
**Symmetry**: No. 221

abc: 4.460 4.460 4.460
angles: 90.00 90.00 90.00
Sites, in units of the cell vectors:
Cu (0.000, 0.000, 0.000)
Zr (0.500, 0.500, 0.500)
P (0.500, 0.000, 0.000)
P (0.000, 0.000, 0.500)
P (0.000, 0.500, 0.000)

=====

Repeat the eleventh record exactly.
BaMg8: optimized geometry, PBE.

Properties
**ΔH_f (0 K)**: 0.04 eV per atom
**Symmetry**: No. 139

abc: 7.444 7.444 7.444
angles: 96.27 96.27 141.40
Sites, in units of the cell vectors:
Mg (0.655, 0.000, 0.655)
Mg (0.000, 0.655, 0.655)
Mg (0.680, 0.680, 0.360)
Mg (0.320, 0.680, 0.000)
Mg (0.320, 0.320, 0.640)
Mg (0.000, 0.345, 0.345)
Mg (0.345, 0.000, 0.345)
Ba (0.000, 0.000, 0.000)
Mg (0.680, 0.320, 0.000)

=====

Copy entry 4 word for word.
NaHgMo3: optimized geometry, PBE.

Properties
**ΔH_f (0 K)**: 2.50 eV per atom
**Excess energy over the best structure of this formula in the dataset**: 0 meV/atom
**Symmetry**: No. 221

abc: 4.562 4.562 4.562
angles: 90.00 90.00 90.00
Sites, in units of the cell vectors:
Mo (0.500, 0.000, 0.000)
Na (0.000, 0.000, 0.000)
Hg (0.500, 0.500, 0.500)
Mo (0.000, 0.500, 0.000)
Mo (0.000, 0.000, 0.500)